Model w:
Crystalline CaSc2Rh2 at its relaxed geometry. Source: Alexandria via LeMat-Bulk, functional PBE-GGA. Values from VASP.

```
&SYSTEM
  ibrav = 0, nat = 5, ntyp = 3
/
ATOMIC_SPECIES
Rh 102.91 Rh.upf
Sc 44.96 Sc.upf
Ca 40.08 Ca.upf
ATOMIC_POSITIONS angstrom
Rh 2.173 2.173 1.305
Rh 4.346 4.346 4.464
Sc 2.173 4.346 2.885
Sc 4.346 2.173 2.885
Ca 0.000 0.000 0.000
CELL_PARAMETERS angstrom
4.346 0.000 0.000
0.000 4.346 0.000
2.173 2.173 5.770
```

The calculated volume is 21.8 Å³/atom. The mass density comes out at 5.117 g cm⁻³. The calculation puts the spin magnetization at 0.00 μB per formula unit. Its space-group type is I4/mmm (139).

Model x:
Crystalline CaSc2Rh2 at its relaxed geometry. Source: Alexandria via LeMat-Bulk, functional PBE-GGA. Values from VASP.

```
&SYSTEM
  ibrav = 0, nat = 10, ntyp = 3
/
ATOMIC_SPECIES
Rh 102.91 Rh.upf
Sc 44.96 Sc.upf
Ca 40.08 Ca.upf
ATOMIC_POSITIONS angstrom
Rh -2.665 1.355 0.331
Rh -4.975 5.522 4.004
Rh -6.460 3.231 0.742
Rh -1.180 3.646 3.593
Sc -6.996 3.619 3.460
Sc -1.559 0.961 2.904
Sc -5.320 0.645 0.850
Sc -3.235 3.936 5.513
Ca 0.000 0.000 0.000
Ca -3.820 3.438 2.167
CELL_PARAMETERS angstrom
-0.082 5.242 5.894
-7.558 1.634 -1.559
-0.915 -2.295 2.029
```

The calculated volume is 19.9 Å³/atom. The mass density comes out at 5.606 g cm⁻³. The calculation puts the spin magnetization at 0.00 μB per formula unit. Its space-group type is P4/mbm (127).

model x is the most stable structure; the next one sits 3.0 kJ/mol of atoms above it.

Model w:
Crystalline Ca2ScRh2 at its relaxed geometry. Source: Alexandria via LeMat-Bulk, functional PBE-GGA. Values from VASP.

```
&SYSTEM
  ibrav = 0, nat = 10, ntyp = 3
/
ATOMIC_SPECIES
Sc 44.96 Sc.upf
Rh 102.91 Rh.upf
Ca 40.08 Ca.upf
ATOMIC_POSITIONS angstrom
Sc 0.000 0.000 0.000
Sc -4.187 -0.868 2.438
Rh -4.133 1.451 1.018
Rh -4.240 -3.187 3.857
Rh -1.655 -1.429 1.617
Rh -6.718 -0.307 3.259
Ca -1.744 -1.737 4.736
Ca -1.548 1.349 2.790
Ca -5.140 -0.870 5.768
Ca -4.944 2.216 3.823
CELL_PARAMETERS angstrom
-6.049 3.362 0.746
-2.325 -5.098 4.130
1.685 2.215 3.683
```

The calculated volume is 22.4 Å³/atom. The mass density comes out at 4.914 g cm⁻³. The calculation puts the spin magnetization at 0.00 μB per formula unit. Its space-group type is P4/mbm (127).

Model x:
Crystalline Ca2ScRh2 at its relaxed geometry. Source: Alexandria via LeMat-Bulk, functional PBE-GGA. Values from VASP.

```
&SYSTEM
  ibrav = 0, nat = 5, ntyp = 3
/
ATOMIC_SPECIES
Rh 102.91 Rh.upf
Sc 44.96 Sc.upf
Ca 40.08 Ca.upf
ATOMIC_POSITIONS angstrom
Rh 4.392 -1.541 2.141
Rh 6.533 -2.293 3.184
Sc 0.000 0.000 0.000
Ca 1.775 -2.695 2.044
Ca 2.220 0.052 3.108
CELL_PARAMETERS angstrom
5.017 -4.664 1.598
5.908 0.830 3.727
-6.931 1.191 -0.173
```

The calculated volume is 22.6 Å³/atom. The mass density comes out at 4.857 g cm⁻³. The calculation puts the spin magnetization at 0.00 μB per formula unit. Its space-group type is I4/mmm (139).

model w is the most stable structure; the next one sits 40.3 kJ/mol of atoms above it.

Model w:
Crystalline Ca2ScRhSe at its relaxed geometry. Source: Alexandria via LeMat-Bulk, functional PBE-GGA. Values from VASP.

```
&SYSTEM
  ibrav = 0, nat = 5, ntyp = 4
/
ATOMIC_SPECIES
Se 78.96 Se.upf
Ca 40.08 Ca.upf
Sc 44.96 Sc.upf
Rh 102.91 Rh.upf
ATOMIC_POSITIONS angstrom
Se 0.000 0.000 0.000
Ca -2.229 1.122 1.072
Ca -0.952 -2.471 0.606
Sc -2.106 -1.242 3.802
Rh 1.075 0.106 2.124
CELL_PARAMETERS angstrom
-1.905 -4.941 1.212
2.150 0.213 4.247
-4.458 2.245 2.145
```

The calculated volume is 28.1 Å³/atom. The mass density comes out at 3.625 g cm⁻³. The calculation puts the spin magnetization at 1.85 μB per formula unit. Its space-group type is P4/mmm (123).

Model x:
Crystalline Ca2ScRhSe at its relaxed geometry. Source: Alexandria via LeMat-Bulk, functional PBE-GGA. Values from VASP.

```
&SYSTEM
  ibrav = 0, nat = 5, ntyp = 4
/
ATOMIC_SPECIES
Rh 102.91 Rh.upf
Ca 40.08 Ca.upf
Sc 44.96 Sc.upf
Se 78.96 Se.upf
ATOMIC_POSITIONS angstrom
Rh 0.000 0.000 0.000
Ca 2.717 0.000 0.000
Ca 0.000 0.000 2.717
Sc 2.717 2.392 2.717
Se 0.000 2.392 0.000
CELL_PARAMETERS angstrom
5.435 0.000 0.000
0.000 4.784 0.000
0.000 0.000 5.435
```

The calculated volume is 28.3 Å³/atom. The mass density comes out at 3.608 g cm⁻³. The calculation puts the spin magnetization at 1.63 μB per formula unit. Its space-group type is P4/mmm (123).

model w is the most stable structure; the next one sits 6.4 kJ/mol of atoms above it.

Model w:
Crystalline Ca2ScTlRh at its relaxed geometry. Source: Alexandria via LeMat-Bulk, functional PBE-GGA. Values from VASP.

```
&SYSTEM
  ibrav = 0, nat = 5, ntyp = 4
/
ATOMIC_SPECIES
Ca 40.08 Ca.upf
Tl 204.38 Tl.upf
Rh 102.91 Rh.upf
Sc 44.96 Sc.upf
ATOMIC_POSITIONS angstrom
Ca 3.066 0.000 0.000
Ca 0.000 3.066 0.000
Tl 3.066 3.066 2.241
Rh 0.000 0.000 2.241
Sc 0.000 0.000 0.000
CELL_PARAMETERS angstrom
6.133 0.000 0.000
0.000 6.133 0.000
0.000 0.000 4.482
```

The calculated volume is 33.7 Å³/atom. The mass density comes out at 4.260 g cm⁻³. The calculation puts the spin magnetization at 0.00 μB per formula unit. Its space-group type is P4/mmm (123).

Model x:
Crystalline Ca2ScTlRh at its relaxed geometry. Source: Alexandria via LeMat-Bulk, functional PBE-GGA. Values from VASP.

```
&SYSTEM
  ibrav = 0, nat = 5, ntyp = 4
/
ATOMIC_SPECIES
Tl 204.38 Tl.upf
Rh 102.91 Rh.upf
Ca 40.08 Ca.upf
Sc 44.96 Sc.upf
ATOMIC_POSITIONS angstrom
Tl -0.266 -2.138 1.518
Rh 2.408 -0.628 4.115
Ca -0.151 1.657 2.307
Ca 2.825 -0.146 0.290
Sc 0.000 0.000 0.000
CELL_PARAMETERS angstrom
-0.302 3.314 4.613
-0.533 -4.277 3.037
5.651 -0.292 0.580
```

The calculated volume is 34.1 Å³/atom. The mass density comes out at 4.209 g cm⁻³. The calculation puts the spin magnetization at 2.27 μB per formula unit. Its space-group type is P4/mmm (123).

model w is the most stable structure; the next one sits 76.9 kJ/mol of atoms above it.

Model w:
Crystalline CaRhSe at its relaxed geometry. Source: Alexandria via LeMat-Bulk, functional PBE-GGA. Values from VASP.

```
&SYSTEM
  ibrav = 0, nat = 3, ntyp = 3
/
ATOMIC_SPECIES
Ca 40.08 Ca.upf
Rh 102.91 Rh.upf
Se 78.96 Se.upf
ATOMIC_POSITIONS angstrom
Ca 6.976 4.558 0.000
Rh 2.494 1.629 0.000
Se 4.564 2.981 0.000
CELL_PARAMETERS angstrom
5.004 0.003 0.000
2.013 4.581 0.000
-3.527 -2.263 2.734
```

The calculated volume is 20.9 Å³/atom. The mass density comes out at 5.884 g cm⁻³. The calculation puts the spin magnetization at 0.34 μB per formula unit. Its space-group type is Imm2 (44).

Model x:
Crystalline CaRhSe at its relaxed geometry. Source: Alexandria via LeMat-Bulk, functional PBE-GGA. Values from VASP.

```
&SYSTEM
  ibrav = 0, nat = 6, ntyp = 3
/
ATOMIC_SPECIES
Ca 40.08 Ca.upf
Rh 102.91 Rh.upf
Se 78.96 Se.upf
ATOMIC_POSITIONS angstrom
Ca 0.000 2.054 5.762
Ca 2.054 0.000 1.301
Rh 0.000 0.000 3.532
Rh 2.054 2.054 3.532
Se 0.000 2.054 1.769
Se 2.054 0.000 5.295
CELL_PARAMETERS angstrom
4.107 0.000 0.000
0.000 4.107 0.000
0.000 0.000 7.064
```

The calculated volume is 19.9 Å³/atom. The mass density comes out at 6.185 g cm⁻³. The calculation puts the spin magnetization at 0.00 μB per formula unit. Its space-group type is P4/nmm (129).

Model y:
Crystalline CaRhSe at its relaxed geometry. Source: Alexandria via LeMat-Bulk, functional PBE-GGA. Values from VASP.

```
&SYSTEM
  ibrav = 0, nat = 3, ntyp = 3
/
ATOMIC_SPECIES
Se 78.96 Se.upf
Rh 102.91 Rh.upf
Ca 40.08 Ca.upf
ATOMIC_POSITIONS angstrom
Se 0.000 2.434 0.684
Rh 2.108 1.217 0.685
Ca 0.000 0.000 2.735
CELL_PARAMETERS angstrom
4.216 0.000 0.000
-2.108 3.651 0.000
0.000 0.000 4.103
```

The calculated volume is 21.1 Å³/atom. The mass density comes out at 5.834 g cm⁻³. The calculation puts the spin magnetization at 0.00 μB per formula unit. Its space-group type is P-6m2 (187).

Model z:
Crystalline CaRhSe at its relaxed geometry. Source: Alexandria via LeMat-Bulk, functional PBE-GGA. Values from VASP.

```
&SYSTEM
  ibrav = 0, nat = 3, ntyp = 3
/
ATOMIC_SPECIES
Se 78.96 Se.upf
Rh 102.91 Rh.upf
Ca 40.08 Ca.upf
ATOMIC_POSITIONS angstrom
Se 0.000 0.000 0.000
Rh 6.728 3.884 2.747
Ca 4.485 2.589 1.831
CELL_PARAMETERS angstrom
4.485 0.000 0.000
2.243 3.884 0.000
2.243 1.295 3.662
```

The calculated volume is 21.3 Å³/atom. The mass density comes out at 5.777 g cm⁻³. The calculation puts the spin magnetization at 0.00 μB per formula unit. Its space-group type is F-43m (216).

model y is the most stable structure; the next one sits 12.2 kJ/mol of atoms above it.

Model w:
Crystalline CaSm2Rh2 at its relaxed geometry. Source: Alexandria via LeMat-Bulk, functional PBE-GGA. Values from VASP.

```
&SYSTEM
  ibrav = 0, nat = 10, ntyp = 3
/
ATOMIC_SPECIES
Sm 150.36 Sm.upf
Rh 102.91 Rh.upf
Ca 40.08 Ca.upf
ATOMIC_POSITIONS angstrom
Sm -2.514 -7.110 6.494
Sm -4.993 -9.124 8.008
Sm -0.011 -1.700 1.658
Sm -2.491 -3.714 3.172
Rh -2.642 -0.865 2.811
Rh -2.363 -9.958 6.855
Rh -2.669 -4.182 6.128
Rh -2.336 -6.641 3.538
Ca -0.027 -5.262 5.001
Ca -4.978 -5.561 4.665
CELL_PARAMETERS angstrom
-2.809 0.364 4.108
-4.646 -6.070 0.389
2.450 -5.117 5.169
```

The calculated volume is 25.0 Å³/atom. The mass density comes out at 7.252 g cm⁻³. The calculation puts the spin magnetization at 0.00 μB per formula unit. Its space-group type is C2/m (12).

Model x:
Crystalline CaSm2Rh2 at its relaxed geometry. Source: Alexandria via LeMat-Bulk, functional PBE-GGA. Values from VASP.

```
&SYSTEM
  ibrav = 0, nat = 10, ntyp = 3
/
ATOMIC_SPECIES
Ca 40.08 Ca.upf
Sm 150.36 Sm.upf
Rh 102.91 Rh.upf
ATOMIC_POSITIONS angstrom
Ca 0.844 -5.319 -1.743
Ca 0.000 0.000 0.000
Sm -0.757 -8.501 -2.001
Sm -1.211 -2.452 -2.296
Sm -1.650 -5.381 0.813
Sm -0.319 -5.571 -5.110
Rh 0.204 -3.067 0.266
Rh 0.525 -7.411 0.502
Rh 1.163 -3.227 -3.987
Rh 1.483 -7.572 -3.751
CELL_PARAMETERS angstrom
-3.656 -0.314 -0.812
1.847 -3.442 -6.988
-0.160 -7.197 3.503
```

The calculated volume is 24.1 Å³/atom. The mass density comes out at 7.537 g cm⁻³. The calculation puts the spin magnetization at 0.00 μB per formula unit. Its space-group type is P4/mbm (127).

model x is the most stable structure; the next one sits 5.0 kJ/mol of atoms above it.